Model a:
Here is TaCu2Ru after structural relaxation from Alexandria via LeMat-Bulk. Energies are from GGA-PBEsol.

a b c (Å): 2.697 4.066 5.016
angles (deg): 90.00 99.19 90.00
Space group Pm (No. 6)
Asymmetric unit:
Ta  0.000  0.000  0.000 x1
Cu  0.572  0.500  0.246 x1
Cu  0.650  0.000  0.489 x1
Ru  0.226  0.500  0.723 x1

Results
spin magnetization	0.00	μB per formula unit
density	12.51	Mg/m³

***

Model b:
Here is TaCu2Ru after structural relaxation from Alexandria via LeMat-Bulk. Energies are from GGA-PBEsol.

a b c (Å): 3.774 3.774 7.532
angles (deg): 90.00 90.00 90.00
Space group I-4m2 (No. 119)
Asymmetric unit:
Ta  0.000  0.000  0.000 x2
Cu  0.000  0.000  0.500 x2
Cu  0.000  0.500  0.750 x2
Ru  0.000  0.500  0.250 x2

Results
spin magnetization	0.00	μB per formula unit
density	12.66	Mg/m³

***

Model c:
Here is TaCu2Ru after structural relaxation from Alexandria via LeMat-Bulk. Energies are from GGA-PBEsol.

a b c (Å): 3.663 3.663 3.992
angles (deg): 90.00 90.00 90.00
Space group P4/mmm (No. 123)
Asymmetric unit:
Ta  0.000  0.000  0.000 x1
Cu  0.000  0.500  0.500 x2
Ru  0.500  0.500  0.000 x1

Results
spin magnetization	0.00	μB per formula unit
density	12.68	Mg/m³

***

Model d:
Here is TaCu2Ru after structural relaxation from Alexandria via LeMat-Bulk. Energies are from GGA-PBEsol.

a b c (Å): 3.630 3.630 8.104
angles (deg): 90.00 90.00 90.00
Space group I4/mmm (No. 139)
Asymmetric unit:
Ta  0.000  0.000  0.000 x2
Cu  0.000  0.500  0.250 x4
Ru  0.000  0.000  0.500 x2

Results
spin magnetization	0.00	μB per formula unit
density	12.72	Mg/m³

***

model d is favored, and the nearest alternative lies 51 meV/atom above it.

***

Model a:
Here is TaCuRu after structural relaxation from Alexandria via LeMat-Bulk. Energies are from GGA-PBEsol.

a b c (Å): 3.223 3.223 8.247
angles (deg): 90.00 90.00 90.00
Space group I4mm (No. 107)
Asymmetric unit:
Ta  0.000  0.000  0.000 x2
Cu  0.000  0.000  0.670 x2
Ru  0.000  0.000  0.340 x2

Results
spin magnetization	0.00	μB per formula unit
density	13.39	Mg/m³

***

Model b:
Here is TaCuRu after structural relaxation from Alexandria via LeMat-Bulk. Energies are from GGA-PBEsol.

a b c (Å): 5.884 5.884 5.884
angles (deg): 90.00 90.00 90.00
Space group F-43m (No. 216)
Asymmetric unit:
Ta  0.000  0.000  0.000 x4
Cu  0.250  0.250  0.750 x4
Ru  0.250  0.250  0.250 x4

Results
spin magnetization	0.00	μB per formula unit
density	11.27	Mg/m³

***

model a is favored, and the nearest alternative lies 704 meV/atom above it.